# Be2SbTe, optimized geometry, DFT GGA-PBE
# Crystal system   cubic
# V   20.5 Å³ per atom
# Offset from the most stable computed form   3.94 eV/f.u.
# ΔE_f (raw)   1007.4 meV/atom
# Size of the total moment   0.0 μB/cell
# Electronic total energy   -0.196 Ry/atom
data_Be2SbTe
_cell_length_a 6.899
_cell_length_b 6.899
_cell_length_c 6.899
_cell_angle_alpha 90.00
_cell_angle_beta 90.00
_cell_angle_gamma 90.00
_symmetry_space_group_name_H-M 'F -4 3 m'
_symmetry_Int_Tables_number 216
_symmetry_space_group_name_Hall 'F -4 2 3'
loop_
_atom_site_label
_atom_site_fract_x
_atom_site_fract_y
_atom_site_fract_z
Be1 0.000 0.000 0.000
Be2 0.250 0.250 0.250
Sb1 0.250 0.250 0.750
Te1 0.000 0.000 0.500